Entry 1:
A geometry-optimized ReMoPdO2 structure. Source: Alexandria, functional GGA+U.

space group = P4/mmm, No. 123

Lattice parameters (Å, degrees): 3.871 5.529 3.871 90.00 90.00 90.00
Each line ends with the local moment (μB).
Element x y z (fractional)
1 Re 0.500 0.500 0.500  -2.79
2 Mo 0.000 0.500 0.000  2.99
3 O 0.000 0.000 0.500  0.03
4 O 0.500 0.000 0.000  0.32
5 Pd 0.000 0.000 0.000  0.27

---

Entry 2:
A geometry-optimized MoPdSe2O structure. Source: Alexandria, functional GGA+U.

space group = P4/mmm, No. 123

Lattice parameters (Å, degrees): 4.753 5.640 4.753 90.00 90.00 90.00
Each line ends with the local moment (μB).
Element x y z (fractional)
1 O 0.500 0.500 0.500  0.67
2 Mo 0.000 0.500 0.000  3.74
3 Se 0.000 0.000 0.500  -0.06
4 Se 0.500 0.000 0.000  -0.10
5 Pd 0.000 0.000 0.000  -0.07

---

Entry 3:
A geometry-optimized Sn2MoPdO structure. Source: Alexandria, functional GGA+U.

space group = P4/mmm, No. 123

Lattice parameters (Å, degrees): 5.498 3.770 5.498 90.00 90.00 90.00
Each line ends with the local moment (μB).
Element x y z (fractional)
1 O 0.000 0.500 0.000  -0.13
2 Mo 0.000 0.000 0.000  1.77
3 Sn 0.000 0.000 0.500  0.01
4 Sn 0.500 0.000 0.000  -0.04
5 Pd 0.500 0.500 0.500  0.09

---

Entry 4:
A geometry-optimized SrMo2PdO8 structure. Source: Alexandria, functional GGA+U.

space group = I-4m2, No. 119

Lattice parameters (Å, degrees): 6.310 6.310 6.310 107.68 107.68 113.12
Each line ends with the local moment (μB).
Element x y z (fractional)
1 Sr 0.000 0.000 0.000  0.00
2 Mo 0.750 0.250 0.500  -0.03
3 Mo 0.500 0.500 0.000  0.04
4 Pd 0.250 0.750 0.500  1.32
5 O 0.403 0.093 0.310  0.06
6 O 0.343 0.537 0.194  0.08
7 O 0.343 0.149 0.806  0.08
8 O 0.783 0.093 0.690  0.06
9 O 0.851 0.657 0.194  0.08
10 O 0.907 0.217 0.310  0.06
11 O 0.907 0.597 0.690  0.06
12 O 0.463 0.657 0.806  0.08

---

Number 1: uncorrected energy -5.733 eV/atom, total magnetic moment 0.14 μB/atom. Number 2: uncorrected energy -3.827 eV/atom, total magnetic moment 0.95 μB/atom. Number 3: uncorrected energy -4.956 eV/atom, total magnetic moment 0.38 μB/atom. Number 4: uncorrected energy -6.557 eV/atom, total magnetic moment 0.17 μB/atom.